No. 1
# PBE AlTlTc2, relaxed
# Energy of formation from the pure elements: 48 kJ per mole of atoms
# ΔE to the lowest computed polymorph: 1.47 eV/f.u.
# Calculated density: 10.77 Mg/m³
# Calculated total energy: -24.86 eV per formula unit
data_AlTlTc2
_cell_length_a 6.412
_cell_length_b 6.412
_cell_length_c 6.412
_cell_angle_alpha 90.00
_cell_angle_beta 90.00
_cell_angle_gamma 90.00
_symmetry_space_group_name_H-M 'F -4 3 m'
_symmetry_Int_Tables_number 216
_symmetry_space_group_name_Hall 'F -4 2 3'
loop_
_atom_site_label
_atom_site_type_symbol
_atom_site_fract_x
_atom_site_fract_y
_atom_site_fract_z
_atom_site_occupancy
Al1 Al 0.000 0.000 0.000 1
Tl1 Tl 0.250 0.250 0.750 1
Tc1 Tc 0.000 0.000 0.500 1
Tc2 Tc 0.250 0.250 0.250 1

=====

No. 2
# PBE Nb5PdRh6, relaxed
# Energy of formation from the pure elements: -40 kJ per mole of atoms
# Calculated density: 10.43 Mg/m³
# Calculated total energy: -104.58 eV per formula unit
data_Nb5PdRh6
_cell_length_a 4.045
_cell_length_b 7.715
_cell_length_c 12.127
_cell_angle_alpha 90.00
_cell_angle_beta 90.00
_cell_angle_gamma 90.00
_symmetry_space_group_name_H-M 'I m m m'
_symmetry_Int_Tables_number 71
_symmetry_space_group_name_Hall '-I 2 2'
loop_
_atom_site_label
_atom_site_type_symbol
_atom_site_fract_x
_atom_site_fract_y
_atom_site_fract_z
_atom_site_occupancy
Nb1 Nb 0.000 0.000 0.000 1
Nb2 Nb 0.000 0.000 0.336 1
Nb3 Nb 0.000 0.500 0.341 1
Pd1 Pd 0.000 0.500 0.000 1
Rh1 Rh 0.000 0.247 0.500 1
Rh2 Rh 0.000 0.253 0.167 1

=====

No. 3
# PBE PdCl3, relaxed
# Calculated density: 3.04 Mg/m³
# E_form (uncorrected): -0.075 eV per atom
# Calculated total energy: -11.03 eV per formula unit
data_PdCl3
_cell_length_a 3.295
_cell_length_b 10.772
_cell_length_c 6.547
_cell_angle_alpha 90.00
_cell_angle_beta 90.00
_cell_angle_gamma 90.00
_symmetry_space_group_name_H-M 'I m m 2'
_symmetry_Int_Tables_number 44
loop_
_symmetry_equiv_pos_as_xyz
'x,y,z'
'-x,-y,z'
'-x,y,z'
'x,-y,z'
'x+1/2,y+1/2,z+1/2'
'-x+1/2,-y+1/2,z+1/2'
'-x+1/2,y+1/2,z+1/2'
'x+1/2,-y+1/2,z+1/2'
loop_
_atom_site_label
_atom_site_type_symbol
_atom_site_fract_x
_atom_site_fract_y
_atom_site_fract_z
_atom_site_occupancy
Pd1 Pd 0.000 0.000 0.000 1
Cl1 Cl 0.000 0.352 0.360 1
Cl2 Cl 0.000 0.500 0.781 1

=====

No. 4
# PBE LiCr2I, relaxed
# ΔE to the lowest computed polymorph: 0.00 eV/f.u.
# Calculated density: 6.12 Mg/m³
# E_form (uncorrected): 0.822 eV per atom
# Calculated total energy: -19.42 eV per formula unit
data_LiCr2I
_cell_length_a 3.614
_cell_length_b 3.614
_cell_length_c 19.771
_cell_angle_alpha 90.00
_cell_angle_beta 90.00
_cell_angle_gamma 90.00
_symmetry_space_group_name_H-M 'I -4 2 d'
_symmetry_Int_Tables_number 122
_symmetry_space_group_name_Hall 'I -4 2bw'
loop_
_atom_site_label
_atom_site_type_symbol
_atom_site_fract_x
_atom_site_fract_y
_atom_site_fract_z
_atom_site_occupancy
Li1 Li 0.000 0.000 0.000 1
Cr1 Cr 0.195 0.250 0.125 1
I1 I 0.000 0.000 0.500 1

=====

> The lowest calculated density belongs to which entry?

PdCl3